PmCuTeS: optimized geometry, GGA-PBE.

a b c (Å): 4.5110 4.5110 11.6532
angles (deg): 78.84 78.84 60.00
Last column: nearest neighbours and their distance in Å.
Atoms (fractional coordinates):
Pm1 0.1117 0.1117 0.6649  4 S 2.74-2.89
Pm2 0.8883 0.8883 0.3351  4 S 2.74-2.89
Cu1 0.6998 0.6998 0.9006  4 Te 2.66-2.78
Cu2 0.3002 0.3002 0.0994  4 Te 2.66-2.78
Te1 0.6181 0.6181 0.1457  4 Cu 2.66-2.78
Te2 0.3819 0.3819 0.8543  4 Cu 2.66-2.78
S1 0.8033 0.8033 0.5900  4 Pm 2.74-2.89
S2 0.1967 0.1967 0.4100  4 Pm 2.74-2.89

Results
Total magnetic moment in μB/f.u.: 0.000
Uncorrected formation energy in eV/f.u.: -4.5
V in Å³/cell: 200.2

Mg2NiBi2: optimized geometry, GGA-PBE.

a b c (Å): 6.9368 6.9368 4.9066
angles (deg): 90.00 90.00 90.00
Last column: nearest neighbours and their distance in Å.
Atoms (fractional coordinates):
Ni1 0.0000 0.0000 0.0000  4 Mg 2.61
Ni2 0.5000 0.5000 0.0000  4 Mg 2.61
Mg1 0.3414 0.8414 0.0000  2 Ni 2.61
Mg2 0.8414 0.6586 0.0000  2 Ni 2.61
Mg3 0.6586 0.1586 0.0000  2 Ni 2.61
Mg4 0.1586 0.3414 0.0000  2 Ni 2.61
Bi1 0.1661 0.6661 0.5000  6 Mg 3.00-3.33, 1 Bi 3.26
Bi2 0.6661 0.8339 0.5000  6 Mg 3.00-3.33, 1 Bi 3.26
Bi3 0.8339 0.3339 0.5000  6 Mg 3.00-3.33, 1 Bi 3.26
Bi4 0.3339 0.1661 0.5000  6 Mg 3.00-3.33, 1 Bi 3.26

Results
Total magnetic moment in μB/f.u.: 0.000
Energy above the lowest structure with this stoichiometry in meV/atom: 77.3
V in Å³/cell: 236.1
E_form in kJ per mole of atoms: 17.0

Pm4GeRhBr2: optimized geometry, GGA-PBE.

a b c (Å): 4.1303 7.7654 7.5367
angles (deg): 73.03 90.00 90.00
Last column: nearest neighbours and their distance in Å.
Atoms (fractional coordinates):
Pm1 0.0000 0.6994 0.7770  2 Rh 2.82, 1 Ge 2.94
Pm2 0.0000 0.3006 0.2230  2 Rh 2.82, 1 Ge 2.94
Pm3 0.5000 0.7033 0.2521  1 Rh 2.80, 2 Ge 2.92
Pm4 0.5000 0.2967 0.7479  1 Rh 2.80, 2 Ge 2.92
Ge1 0.0000 0.5000 0.5000  6 Pm 2.92-2.94
Rh1 0.5000 0.5000 0.0000  6 Pm 2.80-2.82
Br1 0.0000 0.0000 0.0000  6 Pm 3.25-3.26
Br2 0.5000 0.0000 0.5000  6 Pm 3.35-3.36

Results
Total magnetic moment in μB/f.u.: 0.000
Uncorrected formation energy in eV/f.u.: -8.4
V in Å³/cell: 231.2